Entry 1:
{
  "formula": "Ti2H3",
  "functional": "meta-GGA SCAN",
  "state": "PBEsol geometry",
  "lattice": [[-3.781, -1.822, 0.898], [2.025, -3.540, 1.339], [0.175, 1.623, 4.027]],
  "species": ["H", "H", "H", "H", "Ti", "H", "Ti", "Ti", "Ti", "H"],
  "fractional_positions": [[0.000, 0.000, 0.250], [0.500, 0.000, 0.750], [0.000, 0.500, 0.750], [0.500, 0.000, 0.250], [0.738, 0.738, 0.500], [0.000, 0.000, 0.750], [0.738, 0.262, 0.000], [0.262, 0.738, 0.000], [0.262, 0.262, 0.500], [0.000, 0.500, 0.250]],
  "space_group": "P4_2/mcm",
  "total_energy_ev_per_atom": -8.987,
  "n_ef_per_ev_atom": 0.278
}

Entry 2:
{
  "formula": "TiH2",
  "functional": "meta-GGA SCAN",
  "state": "PBEsol geometry",
  "lattice": [[-0.899, -2.298, -1.845], [1.626, -0.671, -2.530], [1.643, -2.603, -0.130]],
  "species": ["Ti", "H", "H"],
  "fractional_positions": [[0.000, 0.000, 0.000], [0.750, 0.750, 0.750], [0.250, 0.250, 0.250]],
  "space_group": "Fm-3m",
  "total_energy_ev_per_atom": -8.200,
  "n_ef_per_ev_atom": 0.558
}

Entry 3:
{
  "formula": "Ti4H5",
  "functional": "meta-GGA SCAN",
  "state": "PBEsol geometry",
  "lattice": [[-1.341, -3.720, -1.246], [3.692, -1.642, 0.931], [-1.459, -0.887, 4.220]],
  "species": ["H", "H", "Ti", "H", "Ti", "H", "Ti", "Ti", "H"],
  "fractional_positions": [[0.500, 0.000, 0.500], [0.500, 0.000, 0.000], [0.744, 0.256, 0.254], [0.000, 0.500, 0.000], [0.744, 0.744, 0.746], [0.000, 0.500, 0.500], [0.256, 0.744, 0.254], [0.256, 0.256, 0.746], [0.000, 0.000, 0.000]],
  "space_group": "P-42m",
  "total_energy_ev_per_atom": -9.510,
  "n_ef_per_ev_atom": 0.478
}

Entry 4:
{
  "formula": "Ti2H",
  "functional": "meta-GGA SCAN",
  "state": "PBEsol geometry",
  "lattice": [[-1.902, 2.381, -2.852], [-2.611, -3.136, -0.877], [-2.643, 1.385, 2.919]],
  "species": ["Ti", "Ti", "H", "Ti", "Ti", "H"],
  "fractional_positions": [[0.750, 0.250, 0.250], [0.250, 0.250, 0.750], [0.000, 0.000, 0.000], [0.250, 0.750, 0.250], [0.750, 0.750, 0.750], [0.500, 0.500, 0.500]],
  "space_group": "Pn-3m",
  "total_energy_ev_per_atom": -12.083,
  "n_ef_per_ev_atom": 0.781
}

Entry 5:
{
  "formula": "Ti2TlH2",
  "functional": "meta-GGA SCAN",
  "state": "PBEsol geometry",
  "lattice": [[3.524, 0.000, 0.000], [0.000, 3.524, 0.000], [-1.762, -1.762, 4.632]],
  "species": ["H", "Ti", "H", "Ti", "Tl"],
  "fractional_positions": [[0.250, 0.750, 0.500], [0.673, 0.673, 0.345], [0.750, 0.250, 0.500], [0.327, 0.327, 0.655], [0.000, 0.000, 0.000]],
  "space_group": "I4/mmm",
  "total_energy_ev_per_atom": -22.633,
  "n_ef_per_ev_atom": 0.626
}

Entry 6:
{
  "formula": "TiV3H",
  "functional": "meta-GGA SCAN",
  "state": "PBEsol geometry",
  "lattice": [[-2.976, -0.876, -2.316], [-2.138, -0.919, 3.095], [-1.250, 3.658, 0.223]],
  "species": ["Ti", "H", "V", "V", "V"],
  "fractional_positions": [[0.500, 0.500, 0.500], [0.000, 0.000, 0.000], [0.000, 0.500, 0.000], [0.000, 0.000, 0.500], [0.500, 0.000, 0.000]],
  "space_group": "Pm-3m",
  "total_energy_ev_per_atom": -14.320,
  "n_ef_per_ev_atom": 1.259
}

Entry 7:
{
  "formula": "TiH2W",
  "functional": "meta-GGA SCAN",
  "state": "PBEsol geometry",
  "lattice": [[4.667, 0.000, 0.000], [-2.334, 4.048, 0.033], [0.000, 2.660, 3.835]],
  "species": ["Ti", "Ti", "W", "W", "H", "H", "H", "H"],
  "fractional_positions": [[0.500, 0.000, 0.500], [0.250, 0.500, 0.250], [0.000, 0.000, 0.000], [0.750, 0.500, 0.750], [0.626, 0.750, 0.375], [0.875, 0.250, 0.626], [0.375, 0.250, 0.124], [0.124, 0.750, 0.875]],
  "space_group": "I-42d",
  "total_energy_ev_per_atom": -23.282,
  "n_ef_per_ev_atom": 0.257
}

Entry 8:
{
  "formula": "YTi3H",
  "functional": "meta-GGA SCAN",
  "state": "PBEsol geometry",
  "lattice": [[4.845, 0.000, 0.000], [0.000, 4.845, 0.000], [0.000, 0.000, 4.845]],
  "species": ["Ti", "Ti", "Ti", "H", "Y"],
  "fractional_positions": [[0.000, 0.500, 0.000], [0.000, 0.000, 0.500], [0.500, 0.000, 0.000], [0.500, 0.500, 0.500], [0.000, 0.000, 0.000]],
  "space_group": "Pm-3m",
  "total_energy_ev_per_atom": -13.670,
  "n_ef_per_ev_atom": 0.802
}

Entry 9:
{
  "formula": "Y3TiH",
  "functional": "meta-GGA SCAN",
  "state": "PBEsol geometry",
  "lattice": [[-4.728, 0.101, -0.367], [-0.359, -2.711, 3.876], [-0.127, 3.892, 2.710]],
  "species": ["H", "Y", "Ti", "Y", "Y"],
  "fractional_positions": [[0.000, 0.000, 0.000], [0.000, 0.000, 0.500], [0.500, 0.500, 0.500], [0.000, 0.500, 0.000], [0.500, 0.000, 0.000]],
  "space_group": "Pm-3m",
  "total_energy_ev_per_atom": -20.627,
  "n_ef_per_ev_atom": 0.910
}

Entry 10:
{
  "formula": "Ti3ZnH",
  "functional": "meta-GGA SCAN",
  "state": "PBEsol geometry",
  "lattice": [[3.988, 0.000, 0.000], [0.000, 3.988, 0.000], [0.000, 0.000, 3.988]],
  "species": ["Zn", "Ti", "H", "Ti", "Ti"],
  "fractional_positions": [[0.000, 0.000, 0.000], [0.500, 0.500, 0.000], [0.500, 0.500, 0.500], [0.000, 0.500, 0.500], [0.500, 0.000, 0.500]],
  "space_group": "Pm-3m",
  "total_energy_ev_per_atom": -13.335,
  "n_ef_per_ev_atom": 0.486
}

Entry 11:
{
  "formula": "TiZn2H",
  "functional": "meta-GGA SCAN",
  "state": "PBEsol geometry",
  "lattice": [[-3.966, -1.224, -0.582], [-1.374, -3.555, 1.745], [-2.726, 0.143, 3.181]],
  "species": ["H", "Zn", "Ti", "Zn"],
  "fractional_positions": [[0.000, 0.000, 0.000], [0.250, 0.250, 0.250], [0.500, 0.500, 0.500], [0.750, 0.750, 0.750]],
  "space_group": "Fm-3m",
  "total_energy_ev_per_atom": -10.967,
  "n_ef_per_ev_atom": 0.517
}

Entry 12:
{
  "formula": "ZrTiZnH2",
  "functional": "meta-GGA SCAN",
  "state": "PBEsol geometry",
  "lattice": [[3.647, 0.000, 0.000], [0.000, 3.647, 0.000], [0.000, 0.000, 5.537]],
  "species": ["Zr", "Zn", "H", "H", "Ti"],
  "fractional_positions": [[0.000, 0.000, 0.500], [0.000, 0.000, 0.000], [0.000, 0.500, 0.000], [0.500, 0.000, 0.000], [0.500, 0.500, 0.500]],
  "space_group": "P4/mmm",
  "total_energy_ev_per_atom": -12.437,
  "n_ef_per_ev_atom": 0.580
}

Entry 13:
{
  "formula": "ZrTi3H",
  "functional": "meta-GGA SCAN",
  "state": "PBEsol geometry",
  "lattice": [[4.766, 0.000, 0.000], [0.000, 4.766, 0.000], [0.000, 0.000, 4.766]],
  "species": ["Ti", "H", "Ti", "Zr", "Ti"],
  "fractional_positions": [[0.000, 0.500, 0.000], [0.500, 0.500, 0.500], [0.500, 0.000, 0.000], [0.000, 0.000, 0.000], [0.000, 0.000, 0.500]],
  "de_polymorph_mev_per_atom": 1931.1,
  "space_group": "Pm-3m",
  "n_ef_per_ev_atom": 1.019
}

Entry 14:
{
  "formula": "ZrTiH2",
  "functional": "meta-GGA SCAN",
  "state": "PBEsol geometry",
  "lattice": [[4.932, 0.000, 0.000], [-2.466, 4.338, 0.014], [0.000, 2.791, 4.066]],
  "species": ["Zr", "Ti", "H", "Ti", "Zr", "H", "H", "H"],
  "fractional_positions": [[0.750, 0.500, 0.750], [0.500, 0.000, 0.500], [0.152, 0.750, 0.875], [0.250, 0.500, 0.250], [0.000, 0.000, 0.000], [0.375, 0.250, 0.152], [0.875, 0.250, 0.598], [0.598, 0.750, 0.375]],
  "space_group": "I-42d",
  "total_energy_ev_per_atom": -13.772,
  "n_ef_per_ev_atom": 0.769
}